# Lu2IrRh

A relaxed structure of Lu2IrRh (PBEsol, Alexandria). Values from VASP.

Properties
Formation energy ... -1.00 eV per atom
Final energy ... -31.7 eV per cell
Symmetry ... No. 225
N(E_F) ... 1.4 states/eV/cell

```
&SYSTEM
  ibrav = 0, nat = 4, ntyp = 3
/
ATOMIC_SPECIES
Lu 174.97 Lu.upf
Ir 192.22 Ir.upf
Rh 102.91 Rh.upf
CELL_PARAMETERS angstrom
0.0000 3.2994 3.2994
3.2994 0.0000 3.2994
3.2994 3.2994 0.0000
ATOMIC_POSITIONS crystal
Lu 0.2500 0.2500 0.2500
Lu 0.7500 0.7500 0.7500
Ir 0.0000 0.0000 0.0000
Rh 0.5000 0.5000 0.5000
```

=====

# Tl3In4

A relaxed structure of Tl3In4 (PBEsol, Alexandria). Values from VASP.

Properties
Formation energy ... 0.01 eV per atom
Final energy ... -19.7 eV per cell
Symmetry ... No. 139
N(E_F) ... 2.5 states/eV/cell

```
&SYSTEM
  ibrav = 0, nat = 7, ntyp = 2
/
ATOMIC_SPECIES
Tl 204.38 Tl.upf
In 114.82 In.upf
CELL_PARAMETERS angstrom
-1.8583 1.8583 13.5494
1.8583 -1.8583 13.5494
1.8583 1.8583 -13.5494
ATOMIC_POSITIONS crystal
Tl 0.0000 0.0000 0.0000
Tl 0.2884 0.2884 0.0000
Tl 0.7116 0.7116 0.0000
In 0.1391 0.1391 0.0000
In 0.4276 0.4276 0.0000
In 0.5724 0.5724 0.0000
In 0.8609 0.8609 0.0000
```

=====

# Tl2CrTcC

A relaxed structure of Tl2CrTcC (PBEsol, Alexandria). Values from VASP.

Properties
Formation energy ... 1.55 eV per atom
Final energy ... -28.7 eV per cell
Symmetry ... No. 123
N(E_F) ... 4.7 states/eV/cell

```
&SYSTEM
  ibrav = 0, nat = 5, ntyp = 4
/
ATOMIC_SPECIES
Tl 204.38 Tl.upf
Cr 52.00 Cr.upf
Tc 98.00 Tc.upf
C 12.01 C.upf
CELL_PARAMETERS angstrom
5.1225 0.0000 0.0000
0.0000 5.1225 0.0000
0.0000 0.0000 3.6097
ATOMIC_POSITIONS crystal
Tl 0.0000 0.5000 0.0000
Tl 0.5000 0.0000 0.0000
Cr 0.0000 0.0000 0.0000
Tc 0.5000 0.5000 0.5000
C 0.0000 0.0000 0.5000
```

=====

# CdBrN2O

A relaxed structure of CdBrN2O (PBEsol, Alexandria). Values from VASP.

Properties
Final energy ... -17.5 eV per cell
Symmetry ... No. 123
Raw formation energy ... 152 kJ per mole of atoms
N(E_F) ... 3.4 states/eV/cell

```
&SYSTEM
  ibrav = 0, nat = 5, ntyp = 4
/
ATOMIC_SPECIES
Cd 112.41 Cd.upf
Br 79.90 Br.upf
N 14.01 N.upf
O 16.00 O.upf
CELL_PARAMETERS angstrom
3.9275 0.0000 0.0000
0.0000 3.9275 0.0000
0.0000 0.0000 3.9270
ATOMIC_POSITIONS crystal
Cd 0.0000 0.0000 0.0000
Br 0.5000 0.5000 0.5000
N 0.0000 0.5000 0.5000
N 0.5000 0.0000 0.5000
O 0.5000 0.5000 0.0000
```

=====

# BAsH2

A relaxed structure of BAsH2 (PBEsol, Alexandria). Values from VASP.

Properties
Final energy ... -30.8 eV per cell
Symmetry ... No. 141
N(E_F) ... 2.1 states/eV/cell

```
&SYSTEM
  ibrav = 0, nat = 8, ntyp = 3
/
ATOMIC_SPECIES
B 10.81 B.upf
As 74.92 As.upf
H 1.01 H.upf
CELL_PARAMETERS angstrom
-1.6626 1.6626 5.4696
1.6626 -1.6626 5.4696
1.6626 1.6626 -5.4696
ATOMIC_POSITIONS crystal
B 0.3750 0.6250 0.7500
B 0.6250 0.3750 0.2500
As 0.1250 0.8750 0.2500
As 0.8750 0.1250 0.7500
H 0.0000 0.5000 0.5000
H 0.5000 0.0000 0.0000
H 0.5000 0.5000 0.0000
H 0.5000 0.5000 0.5000
```

=====

# CdAsRh2

A relaxed structure of CdAsRh2 (PBEsol, Alexandria). Values from VASP.

Properties
Relative energy among the computed polymorphs ... 0.000 eV/atom
Formation energy ... -0.28 eV per atom
Final energy ... -23.7 eV per cell
Symmetry ... No. 123
N(E_F) ... 1.7 states/eV/cell

```
&SYSTEM
  ibrav = 0, nat = 4, ntyp = 3
/
ATOMIC_SPECIES
Cd 112.41 Cd.upf
As 74.92 As.upf
Rh 102.91 Rh.upf
CELL_PARAMETERS angstrom
2.9506 0.0000 0.0000
0.0000 2.9506 0.0000
0.0000 0.0000 6.9629
ATOMIC_POSITIONS crystal
Cd 0.0000 0.0000 0.0000
As 0.0000 0.0000 0.5000
Rh 0.5000 0.5000 0.2897
Rh 0.5000 0.5000 0.7103
```

=====

# La3GaFeS7

A relaxed structure of La3GaFeS7 (PBEsol, Alexandria). Values from VASP.

Properties
Final energy ... -156.4 eV per cell
Symmetry ... No. 4
Raw formation energy ... -154 kJ per mole of atoms
N(E_F) ... 9.7 states/eV/cell

```
&SYSTEM
  ibrav = 0, nat = 24, ntyp = 4
/
ATOMIC_SPECIES
La 138.91 La.upf
Ga 69.72 Ga.upf
Fe 55.84 Fe.upf
S 32.06 S.upf
CELL_PARAMETERS angstrom
10.1275 0.0000 0.0000
0.0000 5.8200 0.0000
-5.0477 0.0000 8.8136
ATOMIC_POSITIONS crystal
La 0.1287 0.0000 0.3618
La 0.2656 0.4997 0.1262
La 0.3627 0.4998 0.7332
La 0.6373 0.9998 0.2668
La 0.7344 0.9997 0.8738
La 0.8713 0.5000 0.6382
Ga 0.1673 0.9161 0.8330
Ga 0.8327 0.4161 0.1670
Fe 0.5000 0.2674 0.4998
Fe 0.5000 0.7674 0.5002
S 0.0148 0.7697 0.9179
S 0.0821 0.7696 0.5966
S 0.1662 0.2967 0.8324
S 0.2697 0.5233 0.4130
S 0.3542 0.0231 0.2674
S 0.4042 0.7697 0.9843
S 0.4147 0.0231 0.6445
S 0.5853 0.5231 0.3555
S 0.5958 0.2697 0.0157
S 0.6458 0.5231 0.7326
S 0.7303 0.0233 0.5870
S 0.8338 0.7967 0.1676
S 0.9179 0.2696 0.4034
S 0.9852 0.2697 0.0821
```

=====

# Cs3InNi

A relaxed structure of Cs3InNi (PBEsol, Alexandria). Values from VASP.

Properties
Formation energy ... 0.87 eV per atom
Final energy ... -7.6 eV per cell
Symmetry ... No. 221
N(E_F) ... 17.0 states/eV/cell

```
&SYSTEM
  ibrav = 0, nat = 5, ntyp = 3
/
ATOMIC_SPECIES
Cs 132.91 Cs.upf
In 114.82 In.upf
Ni 58.69 Ni.upf
CELL_PARAMETERS angstrom
7.0675 0.0000 0.0000
0.0000 7.0675 0.0000
0.0000 0.0000 7.0675
ATOMIC_POSITIONS crystal
Cs 0.0000 0.0000 0.5000
Cs 0.0000 0.5000 0.0000
Cs 0.5000 0.0000 0.0000
In 0.0000 0.0000 0.0000
Ni 0.5000 0.5000 0.5000
```

=====

# Mg2CrRu

A relaxed structure of Mg2CrRu (PBEsol, Alexandria). Values from VASP.

Properties
Relative energy among the computed polymorphs ... 0.153 eV/atom
Formation energy ... 0.52 eV per atom
Final energy ... -21.8 eV per cell
Symmetry ... No. 123
N(E_F) ... 5.1 states/eV/cell

```
&SYSTEM
  ibrav = 0, nat = 4, ntyp = 3
/
ATOMIC_SPECIES
Mg 24.30 Mg.upf
Cr 52.00 Cr.upf
Ru 101.07 Ru.upf
CELL_PARAMETERS angstrom
2.6306 0.0000 0.0000
0.0000 2.6306 0.0000
0.0000 0.0000 8.5826
ATOMIC_POSITIONS crystal
Mg 0.0000 0.0000 0.2486
Mg 0.0000 0.0000 0.7514
Cr 0.5000 0.5000 0.5000
Ru 0.5000 0.5000 0.0000
```

=====

# AlAg2Pt

A relaxed structure of AlAg2Pt (PBEsol, Alexandria). Values from VASP.

Properties
Relative energy among the computed polymorphs ... 0.036 eV/atom
Formation energy ... -0.28 eV per atom
Final energy ... -18.8 eV per cell
Symmetry ... No. 8
N(E_F) ... 1.2 states/eV/cell

```
&SYSTEM
  ibrav = 0, nat = 4, ntyp = 3
/
ATOMIC_SPECIES
Al 26.98 Al.upf
Ag 107.87 Ag.upf
Pt 195.08 Pt.upf
CELL_PARAMETERS angstrom
4.8840 -1.4457 0.0000
4.8840 1.4457 0.0000
-2.0664 0.0000 4.4147
ATOMIC_POSITIONS crystal
Al 0.0000 0.0000 0.0000
Ag 0.5063 0.5063 0.5294
Ag 0.7424 0.7424 0.3848
Pt 0.2733 0.2733 0.9183
```

=====

# ScTaFe

A relaxed structure of ScTaFe (PBEsol, Alexandria). Values from VASP.

Properties
Formation energy ... 0.23 eV per atom
Final energy ... -27.4 eV per cell
Symmetry ... No. 156
N(E_F) ... 3.5 states/eV/cell

```
&SYSTEM
  ibrav = 0, nat = 3, ntyp = 3
/
ATOMIC_SPECIES
Sc 44.96 Sc.upf
Ta 180.95 Ta.upf
Fe 55.84 Fe.upf
CELL_PARAMETERS angstrom
3.0253 0.0000 0.0000
-1.5126 2.6199 0.0000
0.0000 0.0000 6.2905
ATOMIC_POSITIONS crystal
Sc 0.0000 0.0000 0.0000
Ta 0.3333 0.6667 0.5986
Fe 0.6667 0.3333 0.3223
```

=====

# Tl2ZnPb

A relaxed structure of Tl2ZnPb (PBEsol, Alexandria). Values from VASP.

Properties
Relative energy among the computed polymorphs ... 0.045 eV/atom
Formation energy ... 0.13 eV per atom
Final energy ... -10.3 eV per cell
Symmetry ... No. 10
N(E_F) ... 1.6 states/eV/cell

```
&SYSTEM
  ibrav = 0, nat = 4, ntyp = 3
/
ATOMIC_SPECIES
Tl 204.38 Tl.upf
Zn 65.41 Zn.upf
Pb 207.20 Pb.upf
CELL_PARAMETERS angstrom
3.3915 0.0000 0.0000
0.0000 5.0117 0.0000
-1.5563 0.0000 6.0559
ATOMIC_POSITIONS crystal
Tl 0.1160 0.0000 0.2672
Tl 0.8840 0.0000 0.7328
Zn 0.5000 0.5000 0.5000
Pb 0.5000 0.5000 0.0000
```

=====

# BaCaFe2

A relaxed structure of BaCaFe2 (PBEsol, Alexandria). Values from VASP.

Properties
Relative energy among the computed polymorphs ... 0.035 eV/atom
Formation energy ... 0.94 eV per atom
Final energy ... -18.4 eV per cell
Symmetry ... No. 139
N(E_F) ... 9.3 states/eV/cell

```
&SYSTEM
  ibrav = 0, nat = 4, ntyp = 3
/
ATOMIC_SPECIES
Ba 137.33 Ba.upf
Ca 40.08 Ca.upf
Fe 55.84 Fe.upf
CELL_PARAMETERS angstrom
-2.5629 2.5629 3.6178
2.5629 -2.5629 3.6178
2.5629 2.5629 -3.6178
ATOMIC_POSITIONS crystal
Ba 0.0000 0.0000 0.0000
Ca 0.5000 0.5000 0.0000
Fe 0.2500 0.7500 0.5000
Fe 0.7500 0.2500 0.5000
```